{"formula": "ErTm3H8", "functional": "PBE", "state": "relaxed", "lattice": [[5.074, 0.000, 0.000], [0.000, 5.074, 0.000], [0.000, 0.000, 5.074]], "species": ["H", "H", "H", "H", "H", "H", "Tm", "H", "Er", "H", "Tm", "Tm"], "frac_coords": [[0.251, 0.749, 0.749], [0.251, 0.749, 0.251], [0.749, 0.251, 0.749], [0.749, 0.749, 0.749], [0.749, 0.251, 0.251], [0.251, 0.251, 0.749], [0.000, 0.500, 0.500], [0.749, 0.749, 0.251], [0.000, 0.000, 0.000], [0.251, 0.251, 0.251], [0.500, 0.500, 0.000], [0.500, 0.000, 0.500]], "final_energy_ev_per_cell": -53.44, "space_group": "Pm-3m (221)"}

***

{"formula": "CaOsCl3", "functional": "PBE", "state": "relaxed", "lattice": [[-4.683, 1.128, 0.342], [-1.136, -4.692, -0.088], [0.312, -0.165, 4.816]], "species": ["Cl", "Os", "Cl", "Cl", "Ca"], "frac_coords": [[0.500, 0.000, 0.000], [0.000, 0.000, 0.000], [0.000, 0.500, 0.000], [0.000, 0.000, 0.500], [0.500, 0.500, 0.500]], "relative_energy_ev_per_fu": 0.00, "raw_formation_energy_ev_per_atom": -0.3153, "space_group": "Pm-3m (221)"}

***

{"formula": "Cd2AgBr", "functional": "PBE", "state": "relaxed", "lattice": [[3.343, 0.000, 0.000], [0.000, 4.846, 0.000], [0.000, 0.000, 6.117]], "species": ["Br", "Ag", "Cd", "Cd"], "frac_coords": [[0.000, 0.500, 0.500], [0.500, 0.000, 0.500], [0.000, 0.000, 0.000], [0.500, 0.500, 0.000]], "relative_energy_ev_per_fu": 0.70, "raw_formation_energy_ev_per_atom": 0.0196, "space_group": "Pmmm (47)"}

***

{"formula": "InFe2Mo", "functional": "PBE", "state": "relaxed", "lattice": [[4.394, 0.000, 0.000], [2.197, 3.805, 0.000], [2.197, 1.268, 3.588]], "species": ["Mo", "Fe", "Fe", "In"], "frac_coords": [[0.750, 0.750, 0.750], [0.250, 0.250, 0.250], [0.000, 0.000, 0.000], [0.500, 0.500, 0.500]], "delta_e_f_ev_per_atom": 0.3837, "space_group": "F-43m (216)"}

***

{"formula": "PmHoMg2", "functional": "PBE", "state": "relaxed", "lattice": [[-5.300, 0.057, 1.017], [-1.958, -2.660, 4.269], [-1.904, 2.737, 4.244]], "species": ["Mg", "Mg", "Pm", "Ho"], "frac_coords": [[0.750, 0.750, 0.750], [0.250, 0.250, 0.250], [0.000, 0.000, 0.000], [0.500, 0.500, 0.500]], "relative_energy_ev_per_fu": 0.00, "delta_e_f_ev_per_atom": -0.0957, "space_group": "Fm-3m (225)"}

***

{"formula": "U2ZnSi3Ni4", "functional": "PBE", "state": "relaxed", "lattice": [[-2.581, 2.714, 1.171], [0.521, -1.112, 3.727], [7.226, 6.474, 0.921]], "species": ["Ni", "Ni", "Si", "Si", "Zn", "Ni", "U", "Ni", "Si", "U"], "frac_coords": [[0.000, 0.000, 0.000], [0.000, 0.500, 0.359], [0.000, 0.500, 0.127], [0.000, 0.000, 0.500], [0.500, 0.500, 0.500], [0.500, 0.000, 0.641], [0.500, 0.000, 0.246], [0.500, 0.500, 0.000], [0.500, 0.000, 0.873], [0.000, 0.500, 0.754]], "raw_formation_energy_ev_per_atom": -0.4799, "space_group": "P-4m2 (115)"}

***

{"formula": "InBCl2", "functional": "PBE", "state": "relaxed", "lattice": [[3.832, 0.236, 3.319], [-0.782, -1.203, 4.868], [1.972, -4.270, 1.907]], "species": ["Cl", "B", "In", "Cl"], "frac_coords": [[0.750, 0.750, 0.750], [0.000, 0.000, 0.000], [0.500, 0.500, 0.500], [0.250, 0.250, 0.250]], "relative_energy_ev_per_fu": 1.47, "raw_formation_energy_ev_per_atom": 0.5837, "space_group": "Fm-3m (225)"}

***

{"formula": "LaHfAu", "functional": "PBE", "state": "relaxed", "lattice": [[-1.514, -5.321, 0.867], [2.957, -3.378, 3.607], [-1.617, 3.317, 4.417]], "species": ["La", "Au", "La", "Hf", "Hf", "Au"], "frac_coords": [[0.415, 0.907, 0.836], [0.750, 0.274, 0.878], [0.415, 0.156, 0.336], [0.078, 0.804, 0.284], [0.753, 0.465, 0.388], [0.081, 0.608, 0.793]], "relative_energy_ev_per_fu": 0.56, "delta_e_f_ev_per_atom": -0.2173, "space_group": "P1 (1)"}

***

{"formula": "TbEr2Au4", "functional": "PBE", "state": "relaxed", "lattice": [[4.933, 0.000, 0.000], [0.000, 5.636, -2.152], [0.000, 0.580, 6.005]], "species": ["Au", "Er", "Tb", "Au", "Au", "Er", "Au"], "frac_coords": [[0.500, 0.000, 0.500], [0.000, 0.214, 0.786], [0.500, 0.500, 0.500], [0.500, 0.500, 0.000], [0.000, 0.289, 0.289], [0.000, 0.786, 0.214], [0.000, 0.711, 0.711]], "delta_e_f_ev_per_atom": -0.7266, "space_group": "Cmmm (65)"}

***

{"formula": "Ba2AlAu", "functional": "PBE", "state": "relaxed", "lattice": [[5.892, 0.000, 0.000], [0.000, 3.976, 0.001], [0.000, -0.001, 5.892]], "species": ["Al", "Ba", "Au", "Ba"], "frac_coords": [[0.000, 0.625, 0.375], [0.000, 0.125, 0.875], [0.500, 0.624, 0.875], [0.500, 0.126, 0.375]], "delta_e_f_ev_per_atom": -0.3316, "space_group": "P4mm (99)"}

***

{"formula": "MgAg6Hg", "functional": "PBE", "state": "relaxed", "lattice": [[-3.859, 0.600, 1.258], [-1.952, -3.875, -4.139], [0.581, -4.494, 3.928]], "species": ["Ag", "Ag", "Ag", "Ag", "Hg", "Mg", "Ag", "Ag"], "frac_coords": [[0.500, 0.500, 0.000], [0.000, 0.256, 0.256], [0.000, 0.256, 0.744], [0.500, 0.000, 0.500], [0.500, 0.000, 0.000], [0.500, 0.500, 0.500], [0.000, 0.744, 0.744], [0.000, 0.744, 0.256]], "delta_e_f_ev_per_atom": -0.0579, "space_group": "P4/mmm (123)"}

***

{"formula": "Y8AsPt3Se4", "functional": "PBE", "state": "relaxed", "lattice": [[-7.905, -1.632, 0.462], [0.206, -3.203, -7.788], [5.072, -2.969, 5.551]], "species": ["Pt", "Pt", "Y", "As", "Se", "Y", "Se", "Pt", "Se", "Y", "Y", "Y", "Se", "Y", "Y", "Y"], "frac_coords": [[0.500, 0.500, 0.000], [0.000, 0.500, 0.500], [0.751, 0.262, 0.503], [0.000, 0.500, 0.000], [0.000, 0.000, 0.500], [0.249, 0.738, 0.989], [0.000, 0.000, 0.000], [0.500, 0.500, 0.500], [0.500, 0.000, 0.000], [0.744, 0.732, 0.488], [0.259, 0.262, 0.011], [0.751, 0.262, 0.011], [0.500, 0.000, 0.500], [0.256, 0.268, 0.512], [0.741, 0.738, 0.989], [0.249, 0.738, 0.497]], "raw_formation_energy_ev_per_atom": -1.5084, "space_group": "R-3m (166)"}

***

Number 6 is which compound?
U2ZnSi3Ni4